Here is a relaxed structure of Er4TeAuSe2 from Alexandria via LeMat-Bulk. Energies are from PBE-GGA.

```
8
Lattice="-3.771 -0.807 -1.146 1.718 -7.102 -0.654 -1.247 -3.197 6.355" Properties=species:S:1:pos:R:3 pbc="T T T"
Er 0.401 -7.766 4.150
Er -3.700 -3.340 0.406
Er -0.927 -6.569 0.613
Er -2.373 -4.537 3.942
Te -2.273 -7.152 5.455
Au 0.236 -5.150 2.851
Se -1.247 -3.197 6.355
Se -2.509 -2.002 2.605
```

## Properties
SG   P2/m (10)
E   -42.49 eV per formula unit

=====

Here is a relaxed structure of LaZrCrRe2 from Alexandria via LeMat-Bulk. Energies are from PBE-GGA.

```
5
Lattice="4.811 0.000 0.000 0.000 5.334 0.000 0.000 0.000 4.811" Properties=species:S:1:pos:R:3 pbc="T T T"
Re 0.000 0.000 2.406
Re 2.406 0.000 0.000
Cr 2.406 2.667 2.406
Zr 0.000 0.000 0.000
La 0.000 2.667 0.000
```

## Properties
Calculated formation energy   228.1 kJ/mol of atoms
SG   P4/mmm (123)

=====

Here is a relaxed structure of ThZrNb2 from Alexandria via LeMat-Bulk. Energies are from PBE-GGA.

```
4
Lattice="-1.654 -3.021 3.637 3.229 -2.875 2.529 1.055 1.032 4.786" Properties=species:S:1:pos:R:3 pbc="T T T"
Nb 0.658 -1.216 2.738
Nb 1.973 -3.648 8.213
Zr 0.000 0.000 0.000
Th 1.315 -2.432 5.476
```

## Properties
Calculated formation energy   15.8 kJ/mol of atoms
SG   Fm-3m (225)
Energy above the lowest structure with this stoichiometry   0 meV per atom

=====

Per-record size of the total moment, μB per formula unit: 0.00, 0.54, 0.00